The following is a DFT calculation (PBE) of a relaxed SmScPt2 crystal.

Unit cell a=4.520 b=5.791 c=7.167 alpha=116.99 beta=90.00 gamma=90.00
Fractional coordinates of all 8 atoms:
Pt  0.250  0.715  0.602
Pt  0.250  0.847  0.211
Pt  0.750  0.153  0.789
Pt  0.750  0.285  0.398
Sc  0.750  0.767  0.399
Sc  0.250  0.233  0.601
Sm  0.750  0.712  0.891
Sm  0.250  0.288  0.109

Properties
energy relative to the lowest polymorph listed for this composition: 0.0 meV per atom
SG: P2_1/m, No. 11
DFT formation energy: -1.176 eV/atom


The following is a DFT calculation (PBE) of a relaxed SmSc2Pt3 crystal.

Unit cell a=3.321 b=3.321 c=10.536 alpha=90.00 beta=90.00 gamma=90.00
Fractional coordinates of all 6 atoms:
Pt  0.000  0.000  0.000
Pt  0.000  0.000  0.302
Pt  0.000  0.000  0.698
Sc  0.500  0.500  0.842
Sc  0.500  0.500  0.158
Sm  0.500  0.500  0.500

Properties
SG: P4/mmm, No. 123
DFT formation energy: -1.189 eV/atom


The following is a DFT calculation (PBE) of a relaxed SmSc2Pt crystal.

Unit cell a=3.628 b=3.628 c=9.337 alpha=78.80 beta=78.80 gamma=60.00
Fractional coordinates of all 4 atoms:
Sc  0.727  0.727  0.819
Sc  0.273  0.273  0.181
Pt  0.000  0.000  0.000
Sm  0.500  0.500  0.500

Properties
energy relative to the lowest polymorph listed for this composition: 258.7 meV per atom
SG: R-3m, No. 166
DFT formation energy: -0.434 eV/atom


The following is a DFT calculation (PBE) of a relaxed SmSc2Pt crystal.

Unit cell a=4.546 b=4.546 c=6.305 alpha=68.87 beta=68.87 gamma=60.00
Fractional coordinates of all 4 atoms:
Sm  0.496  0.496  0.513
Pt  0.673  0.673  0.981
Sc  0.047  0.047  0.860
Sc  0.285  0.285  0.146

Properties
energy relative to the lowest polymorph listed for this composition: 154.8 meV per atom
SG: R3m, No. 160
DFT formation energy: -0.538 eV/atom


The following is a DFT calculation (PBE) of a relaxed Sm5Sc4Pt4 crystal.

Unit cell a=3.967 b=9.192 c=9.192 alpha=87.33 beta=77.54 gamma=77.54
Fractional coordinates of all 13 atoms:
Sm  0.688  0.945  0.680
Sm  0.000  0.000  0.000
Sm  0.368  0.320  0.945
Sm  0.312  0.055  0.320
Sm  0.632  0.680  0.055
Sc  0.890  0.519  0.700
Sc  0.110  0.481  0.300
Sc  0.409  0.700  0.481
Sc  0.591  0.300  0.519
Pt  0.253  0.696  0.798
Pt  0.051  0.202  0.696
Pt  0.949  0.798  0.304
Pt  0.747  0.304  0.202

Properties
SG: I4/m, No. 87
DFT formation energy: -0.787 eV/atom


The following is a DFT calculation (PBE) of a relaxed SmSc2Pt crystal.

Unit cell a=6.202 b=6.895 c=9.107 alpha=90.00 beta=90.00 gamma=90.00
Fractional coordinates of all 16 atoms:
Sc  0.170  0.675  0.441
Sc  0.170  0.675  0.059
Sc  0.830  0.325  0.559
Sc  0.830  0.325  0.941
Sc  0.330  0.175  0.441
Sc  0.670  0.825  0.559
Sc  0.670  0.825  0.941
Sc  0.330  0.175  0.059
Sm  0.623  0.515  0.250
Sm  0.877  0.015  0.250
Sm  0.123  0.985  0.750
Sm  0.377  0.485  0.750
Pt  0.921  0.612  0.750
Pt  0.079  0.388  0.250
Pt  0.579  0.112  0.750
Pt  0.421  0.888  0.250

Properties
energy relative to the lowest polymorph listed for this composition: 20.4 meV per atom
SG: Pnma, No. 62
DFT formation energy: -0.672 eV/atom


The following is a DFT calculation (PBE) of a relaxed SmScPt4 crystal.

Unit cell a=5.407 b=5.407 c=5.407 alpha=60.00 beta=60.00 gamma=60.00
Fractional coordinates of all 6 atoms:
Sm  0.250  0.250  0.250
Pt  0.124  0.625  0.625
Pt  0.625  0.124  0.625
Pt  0.625  0.625  0.625
Pt  0.625  0.625  0.124
Sc  0.000  0.000  0.000

Properties
SG: F-43m, No. 216
DFT formation energy: -1.022 eV/atom


The following is a DFT calculation (PBE) of a relaxed Sm2Sc3Pt4 crystal.

Unit cell a=7.622 b=7.302 c=7.373 alpha=90.00 beta=90.00 gamma=110.35
Fractional coordinates of all 18 atoms:
Pt  0.640  0.910  0.047
Pt  0.127  0.496  0.860
Pt  0.873  0.503  0.140
Pt  0.373  0.503  0.360
Pt  0.860  0.090  0.547
Pt  0.627  0.496  0.640
Pt  0.360  0.090  0.953
Pt  0.140  0.910  0.453
Sm  0.073  0.193  0.174
Sm  0.573  0.193  0.326
Sm  0.427  0.807  0.674
Sm  0.927  0.807  0.826
Sc  0.252  0.750  0.160
Sc  0.752  0.750  0.340
Sc  0.500  0.500  0.000
Sc  0.248  0.250  0.660
Sc  0.748  0.250  0.840
Sc  0.000  0.500  0.500

Properties
SG: P2_1/c, No. 14
DFT formation energy: -1.163 eV/atom


Question: Which of these has the highest DFT formation energy?
Answer: number 3


Question: What is the formula in the third record?
Answer: SmSc2Pt